Record 1
The following is a PBE-GGA calculation of a geometry-optimized Mg3ScRu structure, from Alexandria via LeMat-Bulk.

Cell and atoms, written as CIF:
```
data_Mg3ScRu
_chemical_formula_sum 'Mg3 Sc1 Ru1'
_space_group_name_H-M_alt 'P m -3 m'
_space_group_IT_number 221
_space_group_name_Hall '-P 4 2 3'
_cell_length_a 5.323
_cell_length_b 5.323
_cell_length_c 5.323
_cell_angle_alpha 90.00
_cell_angle_beta 90.00
_cell_angle_gamma 90.00
loop_
_atom_site_label
_atom_site_type_symbol
_atom_site_fract_x
_atom_site_fract_y
_atom_site_fract_z
Mg1 Mg 0.000 0.000 0.500
Sc1 Sc 0.000 0.000 0.000
Ru1 Ru 0.500 0.500 0.500
```

Results
formation enthalpy at 0 K	8.5	eV/f.u.
electronic total energy	-11.91	eV for the cell shown
DOS(E_F)	6.35	states/eV/f.u.



Record 2
The following is a PBE-GGA calculation of a geometry-optimized Nd2Te4Pb structure, from Alexandria via LeMat-Bulk.

Cell and atoms, written as CIF:
```
data_Nd2Te4Pb
_chemical_formula_sum 'Nd8 Te16 Pb4'
_space_group_name_H-M_alt 'C m c m'
_space_group_IT_number 63
_space_group_name_Hall '-C 2c 2'
_cell_length_a 4.482
_cell_length_b 14.785
_cell_length_c 15.624
_cell_angle_alpha 90.00
_cell_angle_beta 90.00
_cell_angle_gamma 90.00
loop_
_atom_site_label
_atom_site_type_symbol
_atom_site_fract_x
_atom_site_fract_y
_atom_site_fract_z
Nd1 Nd 0.000 0.136 0.068
Te1 Te 0.000 0.042 0.250
Te2 Te 0.000 0.225 0.619
Te3 Te 0.000 0.500 0.000
Pb1 Pb 0.000 0.392 0.250
```

Results
electronic total energy	-133.74	eV for the cell shown
formation energy from raw total energies	-1.089	eV/atom



Record 3
The following is a PBE-GGA calculation of a geometry-optimized SmS2 structure, from Alexandria via LeMat-Bulk.

Cell and atoms, written as CIF:
```
data_SmS2
_chemical_formula_sum 'Sm4 S8'
_space_group_name_H-M_alt 'P 1 21/c 1'
_space_group_IT_number 14
_cell_length_a 8.061
_cell_length_b 3.993
_cell_length_c 7.978
_cell_angle_alpha 90.00
_cell_angle_beta 90.15
_cell_angle_gamma 90.00
loop_
_space_group_symop_operation_xyz
'x,y,z'
'-x,-y,-z'
'-x,y+1/2,-z+1/2'
'x,-y+1/2,z+1/2'
loop_
_atom_site_label
_atom_site_type_symbol
_atom_site_fract_x
_atom_site_fract_y
_atom_site_fract_z
Sm1 Sm 0.225 0.213 0.371
S1 S 0.132 0.739 0.126
S2 S 0.497 0.659 0.391
```

Results
electronic total energy	-72.78	eV for the cell shown
DOS(E_F)	0.08	states/eV/f.u.
formation energy from raw total energies	-1.741	eV/atom



Record 4
The following is a PBE-GGA calculation of a geometry-optimized KSr2Ge2 structure, from Alexandria via LeMat-Bulk.

Cell and atoms, written as CIF:
```
data_KSr2Ge2
_chemical_formula_sum 'K2 Sr4 Ge4'
_space_group_name_H-M_alt 'I 4/m m m'
_space_group_IT_number 139
_space_group_name_Hall '-I 4 2'
_cell_length_a 5.698
_cell_length_b 5.698
_cell_length_c 12.597
_cell_angle_alpha 90.00
_cell_angle_beta 90.00
_cell_angle_gamma 90.00
loop_
_atom_site_label
_atom_site_type_symbol
_atom_site_fract_x
_atom_site_fract_y
_atom_site_fract_z
K1 K 0.000 0.000 0.000
Sr1 Sr 0.000 0.000 0.341
Ge1 Ge 0.000 0.500 0.250
```

Results
formation enthalpy at 0 K	-0.1	eV/f.u.
electronic total energy	-27.57	eV for the cell shown
DOS(E_F)	4.22	states/eV/f.u.



Record 5
The following is a PBE-GGA calculation of a geometry-optimized Zn2IrCl8 structure, from Alexandria via LeMat-Bulk.

Cell and atoms, written as CIF:
```
data_Zn2IrCl8
_chemical_formula_sum 'Zn2 Ir1 Cl8'
_space_group_name_H-M_alt 'P -3 m 1'
_space_group_IT_number 164
_space_group_name_Hall '-P 3 2"'
_cell_length_a 7.2137
_cell_length_b 7.2137
_cell_length_c 6.6573
_cell_angle_alpha 90.00
_cell_angle_beta 90.00
_cell_angle_gamma 120.00
loop_
_atom_site_label
_atom_site_type_symbol
_atom_site_fract_x
_atom_site_fract_y
_atom_site_fract_z
Zn1 Zn 0.3333 0.6667 0.2352
Ir1 Ir 0.0000 0.0000 0.5000
Cl1 Cl 0.1471 0.2943 0.2795
Cl2 Cl 0.3333 0.6667 0.9044
```

Results
electronic total energy	-32.70	eV for the cell shown
DOS(E_F)	7.54	states/eV/f.u.
formation energy from raw total energies	-0.592	eV/atom



Record 6
The following is a PBE-GGA calculation of a geometry-optimized YTc3Te structure, from Alexandria via LeMat-Bulk.

Cell and atoms, written as CIF:
```
data_YTc3Te
_chemical_formula_sum 'Y1 Tc3 Te1'
_space_group_name_H-M_alt 'P m -3 m'
_space_group_IT_number 221
_space_group_name_Hall '-P 4 2 3'
_cell_length_a 4.901
_cell_length_b 4.901
_cell_length_c 4.901
_cell_angle_alpha 90.00
_cell_angle_beta 90.00
_cell_angle_gamma 90.00
loop_
_atom_site_label
_atom_site_type_symbol
_atom_site_fract_x
_atom_site_fract_y
_atom_site_fract_z
Y1 Y 0.000 0.000 0.000
Tc1 Tc 0.000 0.000 0.500
Te1 Te 0.500 0.500 0.500
```

Results
electronic total energy	-29.63	eV for the cell shown
DOS(E_F)	8.95	states/eV/f.u.
formation energy from raw total energies	2.215	eV/atom



Record 7
The following is a PBE-GGA calculation of a geometry-optimized ErThMgMn structure, from Alexandria via LeMat-Bulk.

Cell and atoms, written as CIF:
```
data_ErThMgMn
_chemical_formula_sum 'Er4 Th4 Mg4 Mn4'
_space_group_name_H-M_alt 'F -4 3 m'
_space_group_IT_number 216
_space_group_name_Hall 'F -4 2 3'
_cell_length_a 7.329
_cell_length_b 7.329
_cell_length_c 7.329
_cell_angle_alpha 90.00
_cell_angle_beta 90.00
_cell_angle_gamma 90.00
loop_
_atom_site_label
_atom_site_type_symbol
_atom_site_fract_x
_atom_site_fract_y
_atom_site_fract_z
Er1 Er 0.000 0.000 0.000
Th1 Th 0.000 0.000 0.500
Mg1 Mg 0.250 0.250 0.750
Mn1 Mn 0.250 0.250 0.250
```

Results
formation enthalpy at 0 K	0.6	eV/f.u.
electronic total energy	-88.62	eV for the cell shown
DOS(E_F)	3.75	states/eV/f.u.



Record 8
The following is a PBE-GGA calculation of a geometry-optimized Li3Ge2Te4 structure, from Alexandria via LeMat-Bulk.

Cell and atoms, written as CIF:
```
data_Li3Ge2Te4
_chemical_formula_sum 'Li12 Ge8 Te16'
_space_group_name_H-M_alt 'C 1 2/c 1'
_space_group_IT_number 15
_cell_length_a 15.441
_cell_length_b 7.550
_cell_length_c 8.768
_cell_angle_alpha 90.00
_cell_angle_beta 92.42
_cell_angle_gamma 90.00
loop_
_space_group_symop_operation_xyz
'x,y,z'
'-x,-y,-z'
'-x,y,-z+1/2'
'x,-y,z+1/2'
'x+1/2,y+1/2,z'
'-x+1/2,-y+1/2,-z'
'-x+1/2,y+1/2,-z+1/2'
'x+1/2,-y+1/2,z+1/2'
loop_
_atom_site_label
_atom_site_type_symbol
_atom_site_fract_x
_atom_site_fract_y
_atom_site_fract_z
Li1 Li 0.000 0.002 0.250
Li2 Li 0.108 0.446 0.717
Ge1 Ge 0.196 0.129 0.967
Te1 Te 0.043 0.273 0.002
Te2 Te 0.234 0.138 0.665
```

Results
electronic total energy	-126.11	eV for the cell shown
DOS(E_F)	2.31	states/eV/f.u.
formation energy from raw total energies	-0.443	eV/atom



Record 9
The following is a PBE-GGA calculation of a geometry-optimized Pu3As2F structure, from Alexandria via LeMat-Bulk.

Cell and atoms, written as CIF:
```
data_Pu3As2F
_chemical_formula_sum 'Pu12 As8 F4'
_space_group_name_H-M_alt 'C m c 21'
_space_group_IT_number 36
_cell_length_a 11.999
_cell_length_b 6.863
_cell_length_c 7.041
_cell_angle_alpha 90.00
_cell_angle_beta 90.00
_cell_angle_gamma 90.00
loop_
_space_group_symop_operation_xyz
'x,y,z'
'-x,-y,z+1/2'
'-x,y,z'
'x,-y,z+1/2'
'x+1/2,y+1/2,z'
'-x+1/2,-y+1/2,z+1/2'
'-x+1/2,y+1/2,z'
'x+1/2,-y+1/2,z+1/2'
loop_
_atom_site_label
_atom_site_type_symbol
_atom_site_fract_x
_atom_site_fract_y
_atom_site_fract_z
Pu1 Pu 0.000 0.068 0.000
Pu2 Pu 0.156 0.474 0.425
As1 As 0.170 0.160 0.697
F1 F 0.000 0.256 0.311
```

Results
electronic total energy	-246.94	eV for the cell shown
DOS(E_F)	23.69	states/eV/f.u.
formation energy from raw total energies	-1.262	eV/atom



Record 10
The following is a PBE-GGA calculation of a geometry-optimized CoIr12Os3 structure, from Alexandria via LeMat-Bulk.

Cell and atoms, written as CIF:
```
data_CoIr12Os3
_chemical_formula_sum 'Co1 Ir12 Os3'
_space_group_name_H-M_alt 'P 4/m m m'
_space_group_IT_number 123
_space_group_name_Hall '-P 4 2'
_cell_length_a 3.849
_cell_length_b 3.849
_cell_length_c 15.411
_cell_angle_alpha 90.00
_cell_angle_beta 90.00
_cell_angle_gamma 90.00
loop_
_atom_site_label
_atom_site_type_symbol
_atom_site_fract_x
_atom_site_fract_y
_atom_site_fract_z
Co1 Co 0.000 0.000 0.000
Ir1 Ir 0.000 0.500 0.123
Ir2 Ir 0.000 0.500 0.374
Ir3 Ir 0.500 0.500 0.000
Ir4 Ir 0.500 0.500 0.249
Ir5 Ir 0.500 0.500 0.500
Os1 Os 0.000 0.000 0.245
Os2 Os 0.000 0.000 0.500
```

Results
formation enthalpy at 0 K	0.3	eV/f.u.
electronic total energy	-146.85	eV for the cell shown
DOS(E_F)	11.54	states/eV/f.u.



Number 1: total magnetic moment 2.80 μB per formula unit. Number 2: total magnetic moment 0.00 μB per formula unit. Number 3: total magnetic moment 0.00 μB per formula unit. Number 4: total magnetic moment 0.00 μB per formula unit. Number 5: total magnetic moment 1.12 μB per formula unit. Number 6: total magnetic moment 3.70 μB per formula unit. Number 7: total magnetic moment 2.52 μB per formula unit. Number 8: total magnetic moment 0.00 μB per formula unit. Number 9: total magnetic moment 17.00 μB per formula unit. Number 10: total magnetic moment 0.00 μB per formula unit.